Entry 1:
The following is a DFT calculation (PBE-GGA) of a relaxed UHS2 crystal.

Unit cell a=5.3869 b=3.7456 c=6.9856 alpha=90.00 beta=109.66 gamma=90.00
Last column: nearest neighbours and their distance in Å.
Element x y z (fractional)
U1 0.1339 0.2500 0.2805  2 H 2.13
U2 0.8661 0.7500 0.7195  2 H 2.13
H1 0.0661 0.2500 0.7584  2 U 2.13
H2 0.9339 0.7500 0.2416  2 U 2.13
S1 0.2770 0.7500 0.0656  3 H 2.54-2.79, 3 U 2.67
S2 0.2964 0.7500 0.5831  3 H 2.52-2.75, 3 U 2.74-2.79
S3 0.7036 0.2500 0.4169  3 H 2.52-2.75, 3 U 2.74-2.79
S4 0.7230 0.2500 0.9344  3 H 2.54-2.79, 3 U 2.67

***

Entry 2:
The following is a DFT calculation (PBE-GGA) of a relaxed TaAsPb2 crystal.

Summary:
ΔE_f ... 2.596 eV per formula unit

Unit cell a=3.6072 b=5.0463 c=5.0862 alpha=90.00 beta=90.00 gamma=90.00
Last column: nearest neighbours and their distance in Å.
Element x y z (fractional)
Ta1 0.0000 0.0000 0.0000  4 As 3.10, 4 Pb 3.12
As1 0.5000 0.5000 0.0000  4 Ta 3.10, 4 Pb 3.12
Pb1 0.0000 0.5000 0.5000  4 Pb 3.10, 4 As 3.12
Pb2 0.5000 0.0000 0.5000  4 Pb 3.10, 4 Ta 3.12

***

Entry 3:
The following is a DFT calculation (PBE-GGA) of a relaxed Hf2Zr3Al2 crystal.

Summary:
ΔE_f ... 0.196 eV per formula unit

Unit cell a=4.9271 b=2.9700 c=10.2039 alpha=90.00 beta=103.93 gamma=90.00
Last column: nearest neighbours and their distance in Å.
Element x y z (fractional)
Hf1 0.0749 0.0000 0.1505  3 Zr 2.79-2.88, 3 Hf 2.97-2.98
Hf2 0.9251 0.0000 0.8495  3 Zr 2.79-2.88, 3 Hf 2.97-2.98
Zr1 0.2163 0.0000 0.4323  1 Hf 2.79, 4 Zr 2.80-2.97
Zr2 0.5000 0.0000 0.0000  4 Hf 2.88, 2 Zr 2.97, 4 Al 3.19
Zr3 0.7837 0.0000 0.5677  1 Hf 2.79, 4 Zr 2.80-2.97
Al1 0.3572 0.5000 0.7146  2 Al 2.97, 8 Zr 3.17-3.22, 4 Hf 3.17
Al2 0.6428 0.5000 0.2854  2 Al 2.97, 8 Zr 3.17-3.22, 4 Hf 3.17

***

Entry 4:
The following is a DFT calculation (PBE-GGA) of a relaxed AsP2RhCl crystal.

Summary:
Formation energy without anion corrections ... 1.1262 eV per atom

Unit cell a=4.7231 b=4.7231 c=4.6459 alpha=90.00 beta=90.00 gamma=90.00
Last column: nearest neighbours and their distance in Å.
Element x y z (fractional)
As1 0.0000 0.0000 0.0000  2 Cl 2.32, 4 P 2.36
P1 0.0000 0.5000 0.0000  2 As 2.36
P2 0.5000 0.0000 0.0000  2 As 2.36
Rh1 0.5000 0.5000 0.5000  8 P 3.31, 4 Cl 3.34
Cl1 0.0000 0.0000 0.5000  2 As 2.32

***

Entry 5:
The following is a DFT calculation (PBE-GGA) of a relaxed Li3PuSb3 crystal.

Summary:
Formation energy without anion corrections ... -0.3554 eV per atom

Unit cell a=7.6011 b=7.6011 c=7.6011 alpha=69.05 beta=69.05 gamma=69.05
Last column: nearest neighbours and their distance in Å.
Element x y z (fractional)
Li1 0.1435 0.6813 0.4225  5 Sb 2.87-3.07
Li2 0.3187 0.5775 0.8565  5 Sb 2.87-3.07
Li3 0.4225 0.1435 0.6813  5 Sb 2.87-3.07
Li4 0.5775 0.8565 0.3187  5 Sb 2.87-3.07
Li5 0.6813 0.4225 0.1435  5 Sb 2.87-3.07
Li6 0.8565 0.3187 0.5775  5 Sb 2.87-3.07
Pu1 0.1816 0.1816 0.1816  6 Sb 3.06-3.08, 3 Li 3.37
Pu2 0.8184 0.8184 0.8184  6 Sb 3.06-3.08, 3 Li 3.37
Sb1 0.0441 0.3931 0.8091  5 Li 2.87-3.07, 2 Pu 3.06-3.08
Sb2 0.1909 0.9559 0.6069  5 Li 2.87-3.07, 2 Pu 3.06-3.08
Sb3 0.3931 0.8091 0.0441  5 Li 2.87-3.07, 2 Pu 3.06-3.08
Sb4 0.6069 0.1909 0.9559  5 Li 2.87-3.07, 2 Pu 3.06-3.08
Sb5 0.8091 0.0441 0.3931  5 Li 2.87-3.07, 2 Pu 3.06-3.08
Sb6 0.9559 0.6069 0.1909  5 Li 2.87-3.07, 2 Pu 3.06-3.08

***

Entry 6:
The following is a DFT calculation (PBE-GGA) of a relaxed LiIn4Ge4O14 crystal.

Summary:
Formation energy without anion corrections ... -1.5036 eV per atom

Unit cell a=7.1086 b=7.1086 c=7.1086 alpha=60.00 beta=60.00 gamma=60.00
Last column: nearest neighbours and their distance in Å.
Element x y z (fractional)
Li1 0.0000 0.0000 0.0000  6 O 2.01
In1 0.1251 0.6250 0.6250  2 O 2.18
In2 0.6250 0.1251 0.6250  2 O 2.18
In3 0.6250 0.6250 0.1251  2 O 2.18
In4 0.6250 0.6250 0.6250  2 O 2.18
Ge1 0.1313 0.1313 0.1313  6 O 1.88-1.99
Ge2 0.1313 0.1313 0.6060  6 O 1.88-1.99
Ge3 0.1313 0.6060 0.1313  6 O 1.88-1.99
Ge4 0.6060 0.1313 0.1313  6 O 1.88-1.99
O1 0.0486 0.0486 0.4514  2 Ge 1.88
O2 0.0486 0.4514 0.0486  2 Ge 1.88
O3 0.0486 0.4514 0.4514  2 Ge 1.88
O4 0.1998 0.1998 0.8002  2 Ge 1.99, 1 Li 2.01
O5 0.1998 0.8002 0.1998  2 Ge 1.99, 1 Li 2.01
O6 0.1998 0.8002 0.8002  2 Ge 1.99, 1 Li 2.01
O7 0.4514 0.0486 0.0486  2 Ge 1.88
O8 0.4514 0.0486 0.4514  2 Ge 1.88
O9 0.4514 0.4514 0.0486  2 Ge 1.88
O10 0.5000 0.5000 0.5000  4 In 2.18
O11 0.7500 0.7500 0.7500  4 In 2.18
O12 0.8002 0.1998 0.1998  2 Ge 1.99, 1 Li 2.01
O13 0.8002 0.1998 0.8002  2 Ge 1.99, 1 Li 2.01
O14 0.8002 0.8002 0.1998  2 Ge 1.99, 1 Li 2.01

***

Entry 7:
The following is a DFT calculation (PBE-GGA) of a relaxed LaTeIO2 crystal.

Summary:
Formation energy without anion corrections ... -1.1049 eV per atom

Unit cell a=4.4297 b=4.4297 c=7.7762 alpha=90.00 beta=90.00 gamma=90.00
Last column: nearest neighbours and their distance in Å.
Element x y z (fractional)
La1 0.0000 0.0000 0.0000  4 O 2.21
Te1 0.5000 0.5000 0.5000  4 I 3.13
I1 0.0000 0.0000 0.5000  4 Te 3.13
O1 0.0000 0.5000 0.0000  2 La 2.21
O2 0.5000 0.0000 0.0000  2 La 2.21

***

Entry 8:
The following is a DFT calculation (PBE-GGA) of a relaxed CsHgAsO4 crystal.

Summary:
Formation energy without anion corrections ... -1.1753 eV per atom

Unit cell a=5.8801 b=6.3689 c=7.9897 alpha=90.00 beta=106.65 gamma=90.00
Last column: nearest neighbours and their distance in Å.
Element x y z (fractional)
Cs1 0.2017 0.2500 0.4296  6 O 3.07-3.37
Cs2 0.7983 0.7500 0.5704  6 O 3.07-3.37
Hg1 0.3119 0.2500 0.9627  3 O 2.22-2.42
Hg2 0.6881 0.7500 0.0373  3 O 2.22-2.42
As1 0.2533 0.7500 0.1700  4 O 1.70-1.76
As2 0.7467 0.2500 0.8300  4 O 1.70-1.76
O1 0.0305 0.7500 0.9726  1 As 1.74
O2 0.1384 0.7500 0.3422  1 As 1.70
O3 0.4502 0.5406 0.1763  1 As 1.76
O4 0.4502 0.9594 0.1763  1 As 1.76
O5 0.5498 0.0406 0.8237  1 As 1.76
O6 0.5498 0.4594 0.8237  1 As 1.76
O7 0.8616 0.2500 0.6578  1 As 1.70
O8 0.9695 0.2500 0.0274  1 As 1.74

***

It is found that the energy values, taken in the order of the records, are -0.48874; -0.39181; -0.55481; -0.27983; -0.36674; -0.43247; -0.36838; -0.35558 Ry per atom.
It is found that the total magnetization values, taken in the order of the records, are 2.01; 0.00; 0.00; 0.36; 9.93; 0.00; 0.00; 0.00 μB/cell.